Record 1
# ReTcTe2N

A relaxed structure of ReTcTe2N (PBE, Alexandria).

Formation energy from raw total energies in eV/f.u.: 4.3
Energy above the lowest structure with this stoichiometry in meV per atom: 0
Total moment in μB/f.u.: 3.269
Raw total energy in eV per atom: -6.627
DOS(E_F) in states/eV/cell: 3.95

Unit cell a=5.394 b=5.394 c=3.714 alpha=90.00 beta=90.00 gamma=90.00
Last column: magnetic moment on the atom in μB.
Fractional positions:
Re  0.000  0.000  0.000  -0.09
N  0.000  0.000  0.500  0.04
Tc  0.500  0.500  0.500  3.00
Te  0.000  0.500  0.000  -0.06
Te  0.500  0.000  0.000  -0.06



Record 2
# ReTcTe2N

A relaxed structure of ReTcTe2N (PBE, Alexandria).

Formation energy from raw total energies in eV/f.u.: 5.3
Energy above the lowest structure with this stoichiometry in meV per atom: 198
Total moment in μB/f.u.: 2.768
Raw total energy in eV per atom: -6.429
DOS(E_F) in states/eV/cell: 4.09

Unit cell a=5.325 b=5.325 c=3.652 alpha=90.00 beta=90.00 gamma=90.00
Last column: magnetic moment on the atom in μB.
Fractional positions:
Te  0.000  0.500  0.000  -0.07
Te  0.500  0.000  0.000  -0.07
Re  0.500  0.500  0.500  2.33
N  0.000  0.000  0.500  0.04
Tc  0.000  0.000  0.000  0.09



Among the records above, which one has the lowest energy above the lowest structure with this stoichiometry? number 1



Repeat the second record exactly.
# ReTcTe2N

A relaxed structure of ReTcTe2N (PBE, Alexandria).

Formation energy from raw total energies in eV/f.u.: 5.3
Energy above the lowest structure with this stoichiometry in meV per atom: 198
Total moment in μB/f.u.: 2.768
Raw total energy in eV per atom: -6.429
DOS(E_F) in states/eV/cell: 4.09

Unit cell a=5.325 b=5.325 c=3.652 alpha=90.00 beta=90.00 gamma=90.00
Last column: magnetic moment on the atom in μB.
Fractional positions:
Te  0.000  0.500  0.000  -0.07
Te  0.500  0.000  0.000  -0.07
Re  0.500  0.500  0.500  2.33
N  0.000  0.000  0.500  0.04
Tc  0.000  0.000  0.000  0.09